First-principles (GGA+U) data for a geometry-optimized BaZnMo4O8 structure, as listed in the Alexandria database.

## Properties
- mass density (g/cm³) = 5.70
- size of the total moment (μB per formula unit) = 12.0
- E (eV per atom) = -6.3583

Unit cell a=5.7446 b=5.7446 c=7.2890 alpha=90.00 beta=90.00 gamma=120.00
Each line ends with the local moment (μB).
Fractional coordinates of all 14 atoms:
1 O 0.2945 0.0000 0.3200  -0.01
2 O 0.6667 0.3333 0.0000  0.07
3 O 0.7055 0.7055 0.3200  -0.01
4 O 0.3333 0.6667 0.0000  0.07
5 O 0.0000 0.2945 0.3200  -0.01
6 O 0.7055 0.0000 0.6800  -0.01
7 O 0.2945 0.2945 0.6800  -0.01
8 O 0.0000 0.7055 0.6800  -0.01
9 Mo 0.6667 0.3333 0.7181  2.64
10 Mo 0.3333 0.6667 0.2819  2.64
11 Mo 0.6667 0.3333 0.2819  2.64
12 Mo 0.3333 0.6667 0.7181  2.64
13 Ba 0.0000 0.0000 0.0000  0.02
14 Zn 0.0000 0.0000 0.5000  0.04